one:
This record from the Alexandria database describes NdHo4Er after structural relaxation. The functional is GGA-PBE.

Properties
Size of the total moment   0.00 μB per formula unit

abc: 3.551 6.132 9.373
angles: 77.43 79.15 73.24
Sites, in units of the cell vectors:
Nd 0.000 0.000 0.000
Ho 0.332 0.999 0.336
Ho 0.333 0.502 0.831
Ho 0.667 0.498 0.169
Ho 0.668 0.001 0.664
Er 0.000 0.500 0.500

---

two:
This record from the Alexandria database describes NdHo4Er after structural relaxation. The functional is GGA-PBE.

Properties
Size of the total moment   0.84 μB per formula unit

abc: 6.561 6.561 6.561
angles: 60.00 60.00 60.00
Sites, in units of the cell vectors:
Nd 0.000 0.000 0.000
Ho 0.126 0.625 0.625
Ho 0.625 0.126 0.625
Ho 0.625 0.625 0.126
Ho 0.625 0.625 0.625
Er 0.250 0.250 0.250

---

three:
This record from the Alexandria database describes NdHo4Er after structural relaxation. The functional is GGA-PBE.

Properties
Size of the total moment   0.00 μB per formula unit

abc: 11.927 11.927 11.927
angles: 152.60 40.72 150.47
Sites, in units of the cell vectors:
Nd 0.000 0.000 0.000
Nd 0.500 0.000 0.500
Ho 0.091 0.922 0.169
Ho 0.159 0.567 0.592
Ho 0.253 0.922 0.331
Ho 0.475 0.567 0.908
Ho 0.525 0.433 0.092
Ho 0.747 0.078 0.669
Ho 0.841 0.433 0.408
Ho 0.909 0.078 0.831
Er 0.328 0.578 0.750
Er 0.672 0.422 0.250

---

Relative energies in meV per atom: one 0; two 256; three 33